! SmHoAlTe3 | the Open Quantum Materials Database | PBE-GGA | relaxed; values from VASP
! symmetry: No. 63
! raw total energy: -56.043 eV for the cell shown
&SYSTEM
  ibrav = 0, nat = 12, ntyp = 4
/
ATOMIC_SPECIES
Te 127.60 Te.upf
Ho 164.93 Ho.upf
Sm 150.36 Sm.upf
Al 26.98 Al.upf
CELL_PARAMETERS angstrom
2.069 -7.708 0.000
2.069 7.708 0.000
0.000 0.000 10.483
ATOMIC_POSITIONS crystal
Te 0.350 0.650 0.044
Ho 0.000 0.000 0.500
Te 0.650 0.350 0.544
Ho 0.000 0.000 0.000
Te 0.880 0.120 0.750
Sm 0.219 0.781 0.750
Al 0.477 0.523 0.250
Al 0.523 0.477 0.750
Te 0.350 0.650 0.456
Sm 0.781 0.219 0.250
Te 0.120 0.880 0.250
Te 0.650 0.350 0.956



! AcSbAu | the Open Quantum Materials Database | PBE-GGA | relaxed; values from VASP
! symmetry: No. 156
! excess energy over the best structure of this formula in the dataset: 0 meV per atom
&SYSTEM
  ibrav = 0, nat = 3, ntyp = 3
/
ATOMIC_SPECIES
Ac 227.00 Ac.upf
Sb 121.76 Sb.upf
Au 196.97 Au.upf
CELL_PARAMETERS angstrom
-2.776 2.247 -3.046
1.222 -4.463 -0.789
-3.707 -1.426 2.326
ATOMIC_POSITIONS crystal
Ac 0.000 0.000 0.356
Sb 0.667 0.333 0.885
Au 0.333 0.667 0.759



! CsCuSiTe3 | the Open Quantum Materials Database | PBE-GGA | relaxed; values from VASP
! symmetry: No. 63
! excess energy over the best structure of this formula in the dataset: 65 meV per atom
&SYSTEM
  ibrav = 0, nat = 12, ntyp = 4
/
ATOMIC_SPECIES
Te 127.60 Te.upf
Si 28.09 Si.upf
Cu 63.55 Cu.upf
Cs 132.91 Cs.upf
CELL_PARAMETERS angstrom
-5.099 -0.019 -7.207
-6.250 -3.260 -5.315
-7.674 5.886 5.413
ATOMIC_POSITIONS crystal
Te 0.888 0.888 0.538
Si 0.500 0.500 0.500
Cu 0.051 0.051 0.250
Te 0.112 0.112 0.038
Te 0.888 0.888 0.962
Te 0.112 0.112 0.462
Te 0.548 0.548 0.750
Te 0.452 0.452 0.250
Cu 0.949 0.949 0.750
Si 0.500 0.500 0.000
Cs 0.753 0.753 0.250
Cs 0.247 0.247 0.750



! Y2HoAl7Cu2 | the Open Quantum Materials Database | PBE-GGA | relaxed; values from VASP
! symmetry: No. 166
! raw total energy: -57.039 eV for the cell shown
&SYSTEM
  ibrav = 0, nat = 12, ntyp = 4
/
ATOMIC_SPECIES
Al 26.98 Al.upf
Cu 63.55 Cu.upf
Ho 164.93 Ho.upf
Y 88.91 Y.upf
CELL_PARAMETERS angstrom
6.648 0.285 6.114
8.896 -0.962 1.267
7.600 4.240 2.433
ATOMIC_POSITIONS crystal
Al 0.073 0.582 0.582
Al 0.418 0.927 0.418
Al 0.500 0.500 0.500
Cu 0.665 0.665 0.665
Ho 0.000 0.000 0.000
Y 0.142 0.142 0.142
Al 0.582 0.073 0.582
Al 0.582 0.582 0.073
Y 0.858 0.858 0.858
Al 0.927 0.418 0.418
Cu 0.335 0.335 0.335
Al 0.418 0.418 0.927